1.
# PBE-GGA RbSr2B2S6, relaxed
# symmetry = P-1, No. 2
# energy relative to the elements, uncorrected = -1181 kJ/mol of formula units
# density of states at the Fermi level = 5.23 states/eV per cell
data_RbSr2B2S6
_chemical_formula_sum 'Rb1 Sr2 B2 S6'
_cell_length_a 5.860
_cell_length_b 6.106
_cell_length_c 9.917
_cell_angle_alpha 76.83
_cell_angle_beta 86.58
_cell_angle_gamma 66.56
_space_group_name_H-M_alt 'P 1'
_space_group_IT_number 1
loop_
_space_group_symop_operation_xyz
'x,y,z'
loop_
_atom_site_label
_atom_site_type_symbol
_atom_site_fract_x
_atom_site_fract_y
_atom_site_fract_z
Rb1 Rb 0.000 0.000 0.000
Sr1 Sr 0.361 0.293 0.627
Sr2 Sr 0.639 0.707 0.373
B1 B 0.430 0.303 0.281
B2 B 0.570 0.697 0.719
S1 S 0.189 0.582 0.319
S2 S 0.284 0.830 0.610
S3 S 0.406 0.162 0.147
S4 S 0.594 0.838 0.853
S5 S 0.716 0.170 0.390
S6 S 0.811 0.418 0.681



2.
# PBE-GGA Rb2SrB2S6, relaxed
# symmetry = C2/m, No. 12
# energy relative to the elements, uncorrected = -929 kJ/mol of formula units
# density of states at the Fermi level = 3.03 states/eV per cell
data_Rb2SrB2S6
_chemical_formula_sum 'Rb2 Sr1 B2 S6'
_cell_length_a 6.997
_cell_length_b 6.997
_cell_length_c 10.226
_cell_angle_alpha 116.84
_cell_angle_beta 116.84
_cell_angle_gamma 48.05
_space_group_name_H-M_alt 'P 1'
_space_group_IT_number 1
loop_
_space_group_symop_operation_xyz
'x,y,z'
loop_
_atom_site_label
_atom_site_type_symbol
_atom_site_fract_x
_atom_site_fract_y
_atom_site_fract_z
Rb1 Rb 0.191 0.191 0.137
Rb2 Rb 0.809 0.809 0.863
Sr1 Sr 0.000 0.000 0.500
B1 B 0.416 0.416 0.729
B2 B 0.584 0.584 0.271
S1 S 0.234 0.721 0.228
S2 S 0.263 0.263 0.678
S3 S 0.279 0.766 0.772
S4 S 0.721 0.234 0.228
S5 S 0.737 0.737 0.322
S6 S 0.766 0.279 0.772



3.
# PBE-GGA RbTb2B2S6, relaxed
# symmetry = P-1, No. 2
# energy relative to the elements, uncorrected = -1148 kJ/mol of formula units
# density of states at the Fermi level = 3.56 states/eV per cell
data_RbTb2B2S6
_chemical_formula_sum 'Rb1 Tb2 B2 S6'
_cell_length_a 7.063
_cell_length_b 7.366
_cell_length_c 7.385
_cell_angle_alpha 116.14
_cell_angle_beta 118.51
_cell_angle_gamma 90.06
_space_group_name_H-M_alt 'P 1'
_space_group_IT_number 1
loop_
_space_group_symop_operation_xyz
'x,y,z'
loop_
_atom_site_label
_atom_site_type_symbol
_atom_site_fract_x
_atom_site_fract_y
_atom_site_fract_z
Rb1 Rb 0.000 0.000 0.000
Tb1 Tb 0.329 0.671 0.659
Tb2 Tb 0.671 0.329 0.341
B1 B 0.350 0.260 0.701
B2 B 0.650 0.740 0.299
S1 S 0.102 0.356 0.644
S2 S 0.427 0.109 0.856
S3 S 0.459 0.645 0.357
S4 S 0.541 0.355 0.643
S5 S 0.573 0.891 0.144
S6 S 0.898 0.644 0.356